A plane-wave DFT calculation with PBE was carried out for an optimized crystal structure of CaBSe.

```
CaBSe
1.0
3.471 0.000 0.000
0.000 4.127 0.000
0.000 0.000 8.328
Ca B Se
2 2 2
Direct
0.000 0.000 0.000
0.500 0.000 0.435
0.000 0.500 0.801
0.500 0.500 0.865
0.000 0.500 0.551
0.500 0.500 0.149
```

Space group: Pmm2
Raw formation energy in eV/atom: -0.6778
E above lowest polymorph in meV/atom: 103
E_tot in eV/f.u.: -14.2